Record 1
The following is a PBE calculation of a relaxed Ac2NpGeN5 crystal, from the Alexandria database.

Summary:
D(E_F) in states/eV/cell: 18.4
Magnetization in μB per cell: 7.086
ΔE_f (raw) in eV/atom: -0.870

Cell: 3.5573 14.7287 11.0649 Å, 90.00 90.00 90.00°
With the nearest neighbours (Å) after each atom.
Space group Cmc2_1 (No. 36)
Symmetry-distinct sites (fractional):
Ac1 0.0000 0.1088 0.0000 [4 per cell]  6 N 2.67-2.81
Ac2 0.0000 0.1351 0.6436 [4 per cell]  7 N 2.62-2.84
Np1 0.0000 0.1993 0.3470 [4 per cell]  3 N 2.06-2.25
Ge1 0.0000 0.4503 0.7556 [4 per cell]  4 N 1.83-2.03
N1 0.0000 0.0416 0.3429 [4 per cell]  2 Ge 2.03
N2 0.0000 0.2888 0.9712 [4 per cell]  2 Np 2.25
N3 0.0000 0.3200 0.7124 [4 per cell]  1 Ge 1.98
N4 0.0000 0.3383 0.3294 [4 per cell]  1 Np 2.06
N5 0.0000 0.4928 0.1087 [4 per cell]  1 Ge 1.83

Record 2
The following is a PBE calculation of a relaxed Ac3GeP2N8 crystal, from the Alexandria database.

Summary:
D(E_F) in states/eV/cell: 6.2
Magnetization in μB per cell: 0.001
ΔE_f (raw) in eV/atom: -0.769

Cell: 5.5093 5.5093 7.1702 Å, 90.00 90.00 120.00°
With the nearest neighbours (Å) after each atom.
Space group P-3m1 (No. 164)
Symmetry-distinct sites (fractional):
Ac1 0.0000 0.0000 0.0000 [1 per cell]  6 N 2.81
Ac2 0.3333 0.6667 0.6777 [2 per cell]  7 N 2.46-2.75
Ge1 0.0000 0.0000 0.5000 [1 per cell]  6 N 2.06
P1 0.3333 0.6667 0.2458 [2 per cell]  4 N 1.61-1.66
N1 0.1688 0.3375 0.3217 [6 per cell]  1 P 1.66
N2 0.3333 0.6667 0.0209 [2 per cell]  1 P 1.61

Record 3
The following is a PBE calculation of a relaxed AcGeP2N6 crystal, from the Alexandria database.

Summary:
D(E_F) in states/eV/cell: 19.7
Magnetization in μB per cell: 0.001
ΔE_f (raw) in eV/atom: -0.320

Cell: 10.1960 10.4688 5.7520 Å, 90.00 113.80 90.00°
With the nearest neighbours (Å) after each atom.
Space group C2/c (No. 15)
Symmetry-distinct sites (fractional):
Ac1 0.0000 0.1215 0.2500 [4 per cell]  4 N 2.49-2.60
Ge1 0.0000 0.2505 0.7500 [4 per cell]  4 N 1.80-1.87
P1 0.2089 0.4240 0.1628 [8 per cell]  4 N 1.62-1.66
N1 0.0849 0.3160 0.0661 [8 per cell]  1 P 1.62, 1 Ge 1.80
N2 0.1247 0.1262 0.7218 [8 per cell]  1 P 1.64
N3 0.2053 0.4811 0.4295 [8 per cell]  2 P 1.66

Record 4
The following is a PBE calculation of a relaxed Ac2Pa4Ge3N2 crystal, from the Alexandria database.

Summary:
D(E_F) in states/eV/cell: 28.1
Magnetization in μB per cell: 0.002
ΔE_f (raw) in eV/atom: -0.847

Cell: 4.6374 4.6374 24.8057 Å, 90.00 90.00 90.00°
With the nearest neighbours (Å) after each atom.
Space group I4/mmm (No. 139)
Symmetry-distinct sites (fractional):
Ac1 0.0000 0.0000 0.1984 [4 per cell]  1 N 2.81
Pa1 0.0000 0.5000 0.0778 [8 per cell]  2 N 2.33
Ge1 0.0000 0.0000 0.3370 [4 per cell]  4 Pa 3.14, 5 Ac 3.39-3.44
Ge2 0.0000 0.0000 0.5000 [2 per cell]  8 Pa 3.02
N1 0.0000 0.0000 0.0853 [4 per cell]  4 Pa 2.33